## CoMoP2O (PBE with a Hubbard U)

Data for a geometry-optimized CoMoP2O structure.

Cell lengths 4.6547, 4.6547, 3.4112 Å; angles 90.00, 90.00, 90.00 degrees
Positions (direct):
Co1 0.0000 0.0000 0.0000
Mo1 0.5000 0.5000 0.5000
P1 0.0000 0.5000 0.0000
P2 0.5000 0.0000 0.0000
O1 0.0000 0.0000 0.5000

Summary:
Offset from the most stable computed form ... 0.0023 eV per atom
Fermi-level density of states ... 1.44 states/eV/cell
Energy ... -5.24 eV/atom
V ... 73.9 Å³/f.u.